<P>
PmYHgAu | PBE-GGA | optimized geometry

```
PmYHgAu
1.0
7.422 0.000 0.000
0.000 7.422 0.000
0.000 0.000 7.422
Pm Y Hg Au
4 4 4 4
Cartesian
0.000 0.000 0.000
0.000 3.711 3.711
3.711 0.000 3.711
3.711 3.711 0.000
0.000 0.000 3.711
0.000 3.711 0.000
3.711 0.000 0.000
3.711 3.711 3.711
1.855 1.855 1.855
1.855 5.566 5.566
5.566 1.855 5.566
5.566 5.566 1.855
1.855 1.855 5.566
1.855 5.566 1.855
5.566 1.855 1.855
5.566 5.566 5.566
```

As for the space group: No. 216. The calculated volume is 25.55 Å³ per atom. As for the size of the total moment: 0.0 μB/f.u.

=====

<Q>
PmYHgAu | PBE-GGA | optimized geometry

```
PmYHgAu
1.0
3.706 0.000 0.000
0.000 3.706 0.000
0.000 0.000 7.432
Pm Y Hg Au
1 1 1 1
Cartesian
0.000 0.000 0.000
0.000 0.000 3.559
1.853 1.853 5.431
1.853 1.853 1.887
```

As for the space group: No. 99. The calculated volume is 25.52 Å³ per atom. As for the size of the total moment: 0.0 μB/f.u.

=====

Which is most stable, and by how much? <Q>, by 0.012 eV/atom.

=====

<P>
PrHg6Au | PBE-GGA | optimized geometry

```
PrHg6Au
1.0
4.425 2.555 3.437
-4.425 2.555 3.437
0.000 -5.110 3.437
Pr Hg Au
1 6 1
Cartesian
0.000 0.000 0.000
0.000 -1.920 3.086
-1.663 0.960 3.086
-1.663 -0.960 7.225
1.663 0.960 3.086
1.663 -0.960 7.225
0.000 1.920 7.225
0.000 0.000 5.156
```

As for the space group: No. 166. The calculated volume is 29.14 Å³ per atom. As for the size of the total moment: 0.0 μB/f.u.

=====

<Q>
PrHg6Au | PBE-GGA | optimized geometry

```
PrHg6Au
1.0
4.558 0.000 0.000
0.000 8.423 0.000
0.000 0.000 10.651
Pr Hg Au
2 12 2
Cartesian
0.000 0.000 0.000
0.000 4.212 5.325
0.000 0.000 6.132
0.000 1.678 3.061
0.000 2.533 8.386
0.000 4.212 0.807
0.000 5.890 8.386
0.000 6.745 3.061
2.279 0.000 8.243
2.279 1.807 5.313
2.279 2.404 10.638
2.279 4.212 2.918
2.279 6.019 10.638
2.279 6.616 5.313
2.279 0.000 2.080
2.279 4.212 7.406
```

As for the space group: No. 38. The calculated volume is 25.56 Å³ per atom. As for the size of the total moment: 0.0 μB/f.u.

=====

Which is most stable, and by how much? <Q>, by 0.118 eV/atom.

=====

<P>
Pr3HgAu5 | PBE-GGA | optimized geometry

```
Pr3HgAu5
1.0
8.972 0.000 0.000
-4.486 7.770 0.000
0.000 0.000 6.289
Pr Hg Au
6 2 10
Cartesian
-1.559 2.700 1.572
-2.927 5.070 4.716
3.118 0.000 1.572
1.559 2.700 4.716
5.854 0.000 4.716
2.927 5.070 1.572
0.000 0.000 0.000
0.000 0.000 3.144
-1.441 2.495 4.716
-3.045 5.275 1.572
2.881 0.000 4.716
1.441 2.495 1.572
0.000 5.180 0.000
0.000 5.180 3.144
4.486 2.590 0.000
4.486 2.590 3.144
6.091 0.000 1.572
3.045 5.275 4.716
```

As for the space group: No. 193. The calculated volume is 24.35 Å³ per atom. As for the size of the total moment: 0.0 μB/f.u.

=====

<Q>
Pr3HgAu5 | PBE-GGA | optimized geometry

```
Pr3HgAu5
1.0
-4.151 4.151 6.725
4.151 -4.151 6.725
4.151 4.151 -6.725
Pr Hg Au
6 2 10
Cartesian
5.241 1.090 0.000
0.000 0.000 3.363
1.090 3.061 0.000
3.061 1.090 6.725
0.000 0.000 10.088
-1.090 3.061 6.725
4.151 0.000 3.363
0.000 4.151 3.363
0.000 0.000 0.000
2.496 1.656 -2.017
2.496 -1.656 4.708
2.496 1.656 2.017
2.496 -1.656 8.743
0.000 0.000 6.725
1.656 5.807 -2.017
1.656 2.496 4.708
1.656 5.807 2.017
1.656 2.496 8.743
```

As for the space group: No. 140. The calculated volume is 25.75 Å³ per atom. As for the size of the total moment: 0.0 μB/f.u.

=====

Which is most stable, and by how much? <P>, by 0.234 eV/atom.

=====

<P>
Pr8Hg2Au | PBE-GGA | optimized geometry

```
Pr8Hg2Au
1.0
9.529 -2.668 0.000
9.529 2.668 0.000
-1.735 0.000 6.912
Pr Hg Au
8 2 1
Cartesian
-0.115 0.000 1.870
2.454 0.000 5.667
5.573 0.000 3.605
7.728 0.000 0.292
9.596 0.000 6.619
11.750 0.000 3.306
14.869 0.000 1.244
17.439 0.000 5.042
3.062 0.000 1.654
14.262 0.000 5.258
8.662 0.000 3.456
```

As for the space group: No. 12. The calculated volume is 31.95 Å³ per atom. As for the size of the total moment: 0.0 μB/f.u.

=====

<Q>
Pr8Hg2Au | PBE-GGA | optimized geometry

```
Pr8Hg2Au
1.0
-2.620 4.423 7.432
2.620 -4.423 7.432
2.620 4.423 -7.432
Pr Hg Au
8 2 1
Cartesian
2.620 2.471 -2.340
0.000 0.000 1.904
0.000 2.886 0.000
2.620 2.471 2.340
0.000 1.951 5.091
0.000 5.960 0.000
0.000 0.000 12.960
0.000 1.951 9.772
2.620 0.000 4.447
0.000 4.423 2.985
2.620 0.000 0.000
```

As for the space group: No. 71. The calculated volume is 31.31 Å³ per atom. As for the size of the total moment: 0.0 μB/f.u.

=====

Which is most stable, and by how much? <P>, by 0.073 eV/atom.

=====

<P>
Pr2HgAu3 | PBE-GGA | optimized geometry

```
Pr2HgAu3
1.0
4.056 0.000 0.000
0.000 4.143 0.000
0.000 0.000 18.635
Pr Hg Au
4 2 6
Cartesian
0.000 0.000 0.000
0.000 2.072 4.277
2.028 0.000 13.595
2.028 2.072 9.318
0.000 0.000 7.570
2.028 2.072 16.888
0.000 0.000 10.449
0.000 2.072 12.243
0.000 2.072 14.998
2.028 0.000 2.926
2.028 0.000 5.680
2.028 2.072 1.131
```

As for the space group: No. 44. The calculated volume is 26.09 Å³ per atom. As for the size of the total moment: 0.0 μB/f.u.

=====

<Q>
Pr2HgAu3 | PBE-GGA | optimized geometry

```
Pr2HgAu3
1.0
0.000 4.863 8.386
3.590 0.000 8.386
3.590 4.863 0.000
Pr Hg Au
4 2 6
Cartesian
5.414 4.863 8.386
1.795 2.432 4.193
5.384 7.295 12.579
1.765 4.863 8.386
3.590 4.863 5.591
3.590 4.863 11.181
3.590 4.863 2.779
3.590 2.426 6.993
3.590 2.426 9.779
3.590 7.300 6.993
3.590 7.300 9.779
3.590 4.863 13.993
```

As for the space group: No. 69. The calculated volume is 24.40 Å³ per atom. As for the size of the total moment: 0.0 μB/f.u.

=====

Which is most stable, and by how much? <Q>, by 0.056 eV/atom.

=====

<P>
PrPuHgAu | PBE-GGA | optimized geometry

```
PrPuHgAu
1.0
7.517 0.000 0.000
0.000 7.517 0.000
0.000 0.000 7.517
Pr Pu Hg Au
4 4 4 4
Cartesian
0.000 0.000 0.000
0.000 3.758 3.758
3.758 0.000 3.758
3.758 3.758 0.000
0.000 0.000 3.758
0.000 3.758 0.000
3.758 0.000 0.000
3.758 3.758 3.758
1.879 1.879 1.879
1.879 5.638 5.638
5.638 1.879 5.638
5.638 5.638 1.879
1.879 1.879 5.638
1.879 5.638 1.879
5.638 1.879 1.879
5.638 5.638 5.638
```

As for the space group: No. 216. The calculated volume is 26.55 Å³ per atom. As for the size of the total moment: 6.1 μB/f.u.

=====

<Q>
PrPuHgAu | PBE-GGA | optimized geometry

```
PrPuHgAu
1.0
3.712 0.000 0.000
0.000 3.712 0.000
0.000 0.000 7.672
Pr Pu Hg Au
1 1 1 1
Cartesian
0.000 0.000 0.000
0.000 0.000 4.055
1.856 1.856 2.071
1.856 1.856 5.827
```

As for the space group: No. 99. The calculated volume is 26.42 Å³ per atom. As for the size of the total moment: 5.6 μB/f.u.

=====

Which is most stable, and by how much? <Q>, by 0.037 eV/atom.

=====

<P>
PrSmHgAu | PBE-GGA | optimized geometry

```
PrSmHgAu
1.0
7.537 0.000 0.000
0.000 7.537 0.000
0.000 0.000 7.537
Pr Sm Hg Au
4 4 4 4
Cartesian
0.000 0.000 0.000
0.000 3.768 3.768
3.768 0.000 3.768
3.768 3.768 0.000
0.000 0.000 3.768
0.000 3.768 0.000
3.768 0.000 0.000
3.768 3.768 3.768
1.884 1.884 1.884
1.884 5.652 5.652
5.652 1.884 5.652
5.652 5.652 1.884
1.884 1.884 5.652
1.884 5.652 1.884
5.652 1.884 1.884
5.652 5.652 5.652
```

As for the space group: No. 216. The calculated volume is 26.75 Å³ per atom. As for the size of the total moment: 0.0 μB/f.u.

=====

<Q>
PrSmHgAu | PBE-GGA | optimized geometry

```
PrSmHgAu
1.0
3.762 0.000 0.000
0.000 3.762 0.000
0.000 0.000 7.567
Pr Sm Hg Au
1 1 1 1
Cartesian
0.000 0.000 0.000
0.000 0.000 3.610
1.881 1.881 5.535
1.881 1.881 1.921
```

As for the space group: No. 99. The calculated volume is 26.78 Å³ per atom. As for the size of the total moment: 0.1 μB/f.u.

=====

Which is most stable, and by how much? <Q>, by 0.016 eV/atom.

=====

<P>
TbPrHgAu | PBE-GGA | optimized geometry

```
TbPrHgAu
1.0
3.720 0.000 0.000
0.000 3.720 0.000
0.000 0.000 7.556
Tb Pr Hg Au
1 1 1 1
Cartesian
0.000 0.000 0.000
0.000 0.000 3.947
1.860 1.860 1.878
1.860 1.860 5.960
```

As for the space group: No. 99. The calculated volume is 26.15 Å³ per atom. As for the size of the total moment: 0.2 μB/f.u.

=====

<Q>
TbPrHgAu | PBE-GGA | optimized geometry

```
TbPrHgAu
1.0
7.482 0.000 0.000
0.000 7.482 0.000
0.000 0.000 7.482
Tb Pr Hg Au
4 4 4 4
Cartesian
0.000 0.000 0.000
0.000 3.741 3.741
3.741 0.000 3.741
3.741 3.741 0.000
0.000 0.000 3.741
0.000 3.741 0.000
3.741 0.000 0.000
3.741 3.741 3.741
1.871 1.871 1.871
1.871 5.612 5.612
5.612 1.871 5.612
5.612 5.612 1.871
1.871 1.871 5.612
1.871 5.612 1.871
5.612 1.871 1.871
5.612 5.612 5.612
```

As for the space group: No. 216. The calculated volume is 26.18 Å³ per atom. As for the size of the total moment: 0.0 μB/f.u.

=====

Which is most stable, and by how much? <P>, by 0.023 eV/atom.

=====

<P>
PrThHgAu | PBE-GGA | optimized geometry

```
PrThHgAu
1.0
3.765 0.000 0.000
0.000 3.765 0.000
0.000 0.000 7.675
Pr Th Hg Au
1 1 1 1
Cartesian
0.000 0.000 0.000
0.000 0.000 4.008
1.883 1.883 2.002
1.883 1.883 5.773
```

As for the space group: No. 99. The calculated volume is 27.20 Å³ per atom. As for the size of the total moment: 0.0 μB/f.u.

=====

<Q>
PrThHgAu | PBE-GGA | optimized geometry

```
PrThHgAu
1.0
7.568 0.000 0.000
0.000 7.568 0.000
0.000 0.000 7.568
Pr Th Hg Au
4 4 4 4
Cartesian
0.000 0.000 0.000
0.000 3.784 3.784
3.784 0.000 3.784
3.784 3.784 0.000
0.000 0.000 3.784
0.000 3.784 0.000
3.784 0.000 0.000
3.784 3.784 3.784
1.892 1.892 5.676
1.892 5.676 1.892
5.676 1.892 1.892
5.676 5.676 5.676
1.892 1.892 1.892
1.892 5.676 5.676
5.676 1.892 5.676
5.676 5.676 1.892
```

As for the space group: No. 216. The calculated volume is 27.09 Å³ per atom. As for the size of the total moment: 0.3 μB/f.u.

=====

Which is most stable, and by how much? <P>, by 0.033 eV/atom.

=====

<P>
HgPtAu | PBE-GGA | optimized geometry

```
HgPtAu
1.0
2.984 0.000 0.000
0.000 4.641 0.000
0.000 0.000 4.722
Hg Pt Au
1 1 1
Cartesian
0.000 0.000 0.000
1.492 0.000 2.361
0.000 2.320 2.361
```

As for the space group: No. 47. The calculated volume is 21.79 Å³ per atom. As for the size of the total moment: 0.0 μB/f.u.

=====

<Q>
HgPtAu | PBE-GGA | optimized geometry

```
HgPtAu
1.0
5.649 0.000 0.000
0.000 6.762 0.000
0.000 0.000 6.375
Hg Pt Au
4 4 4
Cartesian
0.000 1.691 0.810
0.000 5.072 5.565
2.825 1.691 2.378
2.825 5.072 3.997
1.412 1.691 4.781
1.412 5.072 1.594
4.237 1.691 4.781
4.237 5.072 1.594
0.000 0.000 3.188
0.000 3.381 3.188
2.825 0.000 0.000
2.825 3.381 0.000
```

As for the space group: No. 74. The calculated volume is 20.29 Å³ per atom. As for the size of the total moment: 0.0 μB/f.u.

=====

Which is most stable, and by how much? <P>, by 0.115 eV/atom.

=====

<P>
HgPtAu | PBE-GGA | optimized geometry

```
HgPtAu
1.0
6.388 0.000 0.000
0.000 6.388 0.000
0.000 0.000 6.388
Hg Pt Au
4 4 4
Cartesian
0.000 0.000 0.000
0.000 3.194 3.194
3.194 0.000 3.194
3.194 3.194 0.000
1.597 1.597 4.791
1.597 4.791 1.597
4.791 1.597 1.597
4.791 4.791 4.791
0.000 0.000 3.194
0.000 3.194 0.000
3.194 0.000 0.000
3.194 3.194 3.194
```

As for the space group: No. 216. The calculated volume is 21.72 Å³ per atom. As for the size of the total moment: 0.0 μB/f.u.

=====

<Q>
HgPtAu | PBE-GGA | optimized geometry

```
HgPtAu
1.0
4.622 0.000 0.000
-2.311 4.003 0.000
0.000 0.000 2.967
Hg Pt Au
1 1 1
Cartesian
0.000 0.000 0.000
2.311 1.334 0.981
0.000 2.668 1.967
```

As for the space group: No. 156. The calculated volume is 18.30 Å³ per atom. As for the size of the total moment: 0.0 μB/f.u.

=====

<R>
HgPtAu | PBE-GGA | optimized geometry

```
HgPtAu
1.0
3.040 0.000 0.000
0.000 3.040 0.000
0.000 0.000 11.851
Hg Pt Au
2 2 2
Cartesian
0.000 0.000 0.000
1.520 1.520 5.925
0.000 0.000 7.854
1.520 1.520 1.928
0.000 0.000 3.819
1.520 1.520 9.744
```

As for the space group: No. 107. The calculated volume is 18.25 Å³ per atom. As for the size of the total moment: 0.0 μB/f.u.

=====

Which is most stable, and by how much? <R>, by 0.028 eV/atom.

=====

<P>
Rb2HgPtAu | PBE-GGA | optimized geometry

```
Rb2HgPtAu
1.0
6.371 0.000 0.000
0.000 6.371 0.000
0.000 0.000 5.223
Rb Hg Pt Au
2 1 1 1
Cartesian
0.000 3.185 0.000
3.185 0.000 0.000
0.000 0.000 2.612
0.000 0.000 0.000
3.185 3.185 2.612
```

As for the space group: No. 123. The calculated volume is 42.40 Å³ per atom. As for the size of the total moment: 0.1 μB/f.u.

=====

<Q>
Rb2HgPtAu | PBE-GGA | optimized geometry

```
Rb2HgPtAu
1.0
6.321 0.000 0.000
0.000 6.321 0.000
0.000 0.000 5.239
Rb Hg Pt Au
2 1 1 1
Cartesian
0.000 3.161 0.000
3.161 0.000 0.000
0.000 0.000 2.619
3.161 3.161 0.000
3.161 3.161 2.619
```

As for the space group: No. 123. The calculated volume is 41.86 Å³ per atom. As for the size of the total moment: 0.0 μB/f.u.

=====

Which is most stable, and by how much? <P>, by 0.022 eV/atom.